Entry 1:
Here is Pb5Br3F12 after structural relaxation from Alexandria. Energies are from PBE-GGA.

The structure in POSCAR format:
```
Pb5Br3F12
1.0
-7.752 7.752 7.752
7.752 -7.752 7.752
7.752 7.752 -7.752
Pb Br F
20 12 48
Direct
0.000 0.000 0.000
0.000 0.000 0.500
0.000 0.500 0.000
0.000 0.500 0.500
0.125 0.750 0.875
0.125 0.875 0.250
0.250 0.125 0.875
0.250 0.625 0.375
0.375 0.250 0.625
0.375 0.625 0.750
0.500 0.000 0.000
0.500 0.000 0.500
0.500 0.500 0.000
0.500 0.500 0.500
0.625 0.375 0.250
0.625 0.750 0.375
0.750 0.375 0.625
0.750 0.875 0.125
0.875 0.125 0.750
0.875 0.250 0.125
0.125 0.250 0.375
0.125 0.375 0.750
0.250 0.375 0.125
0.250 0.875 0.625
0.375 0.125 0.250
0.375 0.750 0.125
0.625 0.250 0.875
0.625 0.875 0.750
0.750 0.125 0.375
0.750 0.625 0.875
0.875 0.625 0.250
0.875 0.750 0.625
0.008 0.675 0.079
0.008 0.833 0.928
0.072 0.579 0.904
0.072 0.992 0.167
0.079 0.008 0.675
0.079 0.572 0.404
0.096 0.667 0.675
0.096 0.928 0.421
0.167 0.072 0.992
0.167 0.596 0.175
0.175 0.167 0.596
0.175 0.508 0.579
0.325 0.904 0.333
0.325 0.921 0.992
0.333 0.325 0.904
0.333 0.508 0.428
0.404 0.079 0.572
0.404 0.825 0.833
0.421 0.096 0.928
0.421 0.825 0.492
0.428 0.333 0.508
0.428 0.596 0.921
0.492 0.421 0.825
0.492 0.572 0.667
0.508 0.428 0.333
0.508 0.579 0.175
0.572 0.404 0.079
0.572 0.667 0.492
0.579 0.175 0.508
0.579 0.904 0.072
0.596 0.175 0.167
0.596 0.921 0.428
0.667 0.492 0.572
0.667 0.675 0.096
0.675 0.079 0.008
0.675 0.096 0.667
0.825 0.492 0.421
0.825 0.833 0.404
0.833 0.404 0.825
0.833 0.928 0.008
0.904 0.072 0.579
0.904 0.333 0.325
0.921 0.428 0.596
0.921 0.992 0.325
0.928 0.008 0.833
0.928 0.421 0.096
0.992 0.167 0.072
0.992 0.325 0.921
```

Output
* volume: 23.29 Å³/atom
* ρ: 5.359 g cm⁻³
* space group: Ia-3d, No. 230
* energy relative to the elements, uncorrected: -1.6211 eV/atom

Entry 2:
Here is Pb6BrF12 after structural relaxation from Alexandria. Energies are from PBE-GGA.

The structure in POSCAR format:
```
Pb6BrF12
1.0
5.705 3.294 3.256
-5.705 3.294 3.256
0.000 -6.588 3.256
Pb Br F
6 1 12
Direct
0.234 0.234 0.644
0.234 0.644 0.234
0.356 0.766 0.766
0.644 0.234 0.234
0.766 0.356 0.766
0.766 0.766 0.356
0.000 0.000 0.000
0.133 0.500 0.867
0.133 0.867 0.500
0.201 0.475 0.475
0.475 0.201 0.475
0.475 0.475 0.201
0.500 0.133 0.867
0.500 0.867 0.133
0.525 0.525 0.799
0.525 0.799 0.525
0.799 0.525 0.525
0.867 0.133 0.500
0.867 0.500 0.133
```

Output
* volume: 19.32 Å³/atom
* ρ: 7.016 g cm⁻³
* space group: R-3m, No. 166
* energy relative to the elements, uncorrected: -2.1647 eV/atom

Entry 3:
Here is Rb2PbBrF6 after structural relaxation from Alexandria. Energies are from PBE-GGA.

The structure in POSCAR format:
```
Rb2PbBrF6
1.0
-3.417 3.417 5.109
3.417 -3.417 5.109
3.417 3.417 -5.109
Rb Pb Br F
2 1 1 6
Direct
0.250 0.750 0.500
0.750 0.250 0.500
0.000 0.000 0.000
0.500 0.500 0.000
0.208 0.208 0.000
0.220 0.220 0.439
0.220 0.780 0.000
0.780 0.220 0.000
0.780 0.780 0.561
0.792 0.792 0.000
```

Output
* volume: 23.86 Å³/atom
* ρ: 3.981 g cm⁻³
* space group: I4/mmm, No. 139
* energy relative to the elements, uncorrected: -1.9773 eV/atom

Entry 4:
Here is RbPbBrF2 after structural relaxation from Alexandria. Energies are from PBE-GGA.

The structure in POSCAR format:
```
RbPbBrF2
1.0
4.693 0.000 0.000
0.000 4.693 0.000
0.000 0.000 9.590
Rb Pb Br F
1 1 1 2
Direct
0.000 0.000 0.000
0.000 0.000 0.500
0.500 0.500 0.000
0.000 0.500 0.500
0.500 0.000 0.500
```

Output
* volume: 42.25 Å³/atom
* ρ: 3.228 g cm⁻³
* energy relative to the lowest polymorph listed for this composition: 0.94 eV/f.u.
* space group: P4/mmm, No. 123
* energy relative to the elements, uncorrected: -1.8611 eV/atom

Entry 5:
Here is RbPb2BrF4 after structural relaxation from Alexandria. Energies are from PBE-GGA.

The structure in POSCAR format:
```
RbPb2BrF4
1.0
4.168 0.000 0.000
0.000 4.168 0.000
0.000 0.000 10.343
Rb Pb Br F
1 2 1 4
Direct
0.000 0.000 0.000
0.500 0.500 0.304
0.500 0.500 0.696
0.000 0.000 0.500
0.000 0.500 0.190
0.000 0.500 0.810
0.500 0.000 0.190
0.500 0.000 0.810
```

Output
* volume: 22.46 Å³/atom
* ρ: 6.061 g cm⁻³
* space group: P4/mmm, No. 123
* energy relative to the elements, uncorrected: -2.2169 eV/atom

Entry 6:
Here is RbPbBrF2 after structural relaxation from Alexandria. Energies are from PBE-GGA.

The structure in POSCAR format:
```
RbPbBrF2
1.0
4.870 0.000 0.000
0.000 4.870 0.000
0.000 0.000 6.184
Rb Pb Br F
1 1 1 2
Direct
0.000 0.000 0.000
0.500 0.500 0.500
0.500 0.500 0.000
0.000 0.500 0.500
0.500 0.000 0.500
```

Output
* volume: 29.33 Å³/atom
* ρ: 4.650 g cm⁻³
* energy relative to the lowest polymorph listed for this composition: 0.00 eV/f.u.
* space group: P4/mmm, No. 123
* energy relative to the elements, uncorrected: -2.0492 eV/atom